No. 1
## BaIn2Sb2 (PBE-GGA)

Data for a relaxed BaIn2Sb2 crystal.

Cell: 8.7693 8.7693 4.0503 Å, 90.00 90.00 90.00°
Positions (direct):
Sb  0.1704  0.6704  0.5000
Sb  0.6704  0.8296  0.5000
Sb  0.8296  0.3296  0.5000
Sb  0.3296  0.1704  0.5000
Ba  0.0000  0.0000  0.0000
Ba  0.5000  0.5000  0.0000
In  0.3783  0.8783  0.0000
In  0.8783  0.6217  0.0000
In  0.6217  0.1217  0.0000
In  0.1217  0.3783  0.0000

## Properties
SG: P4/mbm, No. 127
Energy, eV per atom: -3.445
Energy relative to the elements, uncorrected, meV per atom: -316

***

No. 2
## LaInIO2 (PBE-GGA)

Data for a relaxed LaInIO2 crystal.

Cell: 4.4010 4.4010 5.6365 Å, 90.00 90.00 90.00°
Positions (direct):
I  0.0000  0.0000  0.5000
In  0.0000  0.0000  0.0000
O  0.0000  0.5000  0.0000
O  0.5000  0.0000  0.0000
La  0.5000  0.5000  0.5000

## Properties
SG: P4/mmm, No. 123
Polymorph energy (0 for the lowest one), kJ/mol of formula units: 237.5
Energy, eV per atom: -4.750
Energy relative to the elements, uncorrected, meV per atom: -924